1.
## Sr2Ag2HgPd5 (PBE-GGA)

Data for a relaxed Sr2Ag2HgPd5 crystal.

Geometry as CIF:
```
data_Sr2Ag2HgPd5
_space_group_name_H-M_alt 'P 4/m b m'
_space_group_IT_number 127
_space_group_name_Hall '-P 4 2ab'
_cell_length_a 10.0254
_cell_length_b 10.0254
_cell_length_c 4.0924
_cell_angle_alpha 90.00
_cell_angle_beta 90.00
_cell_angle_gamma 90.00
loop_
_atom_site_label
_atom_site_type_symbol
_atom_site_fract_x
_atom_site_fract_y
_atom_site_fract_z
Sr1 Sr 0.1754 0.3246 0.0000
Ag1 Ag 0.1237 0.6237 0.0000
Hg1 Hg 0.0000 0.0000 0.0000
Pd1 Pd 0.0000 0.5000 0.5000
Pd2 Pd 0.0578 0.8000 0.5000
```

Its raw total energy is -77.79 eV/cell. For the total magnetic moment, the calculation gives 0.0 μB/f.u.

2.
## BiHCl3 (PBE-GGA)

Data for a relaxed BiHCl3 crystal.

Geometry as CIF:
```
data_BiHCl3
_space_group_name_H-M_alt 'P m -3 m'
_space_group_IT_number 221
_space_group_name_Hall '-P 4 2 3'
_cell_length_a 4.4764
_cell_length_b 4.4764
_cell_length_c 4.4764
_cell_angle_alpha 90.00
_cell_angle_beta 90.00
_cell_angle_gamma 90.00
loop_
_atom_site_label
_atom_site_type_symbol
_atom_site_fract_x
_atom_site_fract_y
_atom_site_fract_z
Bi1 Bi 0.0000 0.0000 0.0000
H1 H 0.5000 0.5000 0.5000
Cl1 Cl 0.0000 0.5000 0.5000
```

The calculation puts the relative energy among the computed polymorphs at 697 meV/atom. Its raw total energy is -12.58 eV/cell. For the total magnetic moment, the calculation gives 0.0 μB/f.u.

3.
## ScIn2Ru2 (PBE-GGA)

Data for a relaxed ScIn2Ru2 crystal.

Geometry as CIF:
```
data_ScIn2Ru2
_space_group_name_H-M_alt 'P 4/m b m'
_space_group_IT_number 127
_space_group_name_Hall '-P 4 2ab'
_cell_length_a 7.3399
_cell_length_b 7.3399
_cell_length_c 3.4427
_cell_angle_alpha 90.00
_cell_angle_beta 90.00
_cell_angle_gamma 90.00
loop_
_atom_site_label
_atom_site_type_symbol
_atom_site_fract_x
_atom_site_fract_y
_atom_site_fract_z
Sc1 Sc 0.0000 0.0000 0.0000
In1 In 0.1542 0.3458 0.5000
Ru1 Ru 0.1441 0.6441 0.0000
```

Its raw total energy is -62.15 eV/cell. For the total magnetic moment, the calculation gives 0.0 μB/f.u.

4.
## LaAlN3 (PBE-GGA)

Data for a relaxed LaAlN3 crystal.

Geometry as CIF:
```
data_LaAlN3
_space_group_name_H-M_alt 'P m -3 m'
_space_group_IT_number 221
_space_group_name_Hall '-P 4 2 3'
_cell_length_a 4.2842
_cell_length_b 4.2842
_cell_length_c 4.2842
_cell_angle_alpha 90.00
_cell_angle_beta 90.00
_cell_angle_gamma 90.00
loop_
_atom_site_label
_atom_site_type_symbol
_atom_site_fract_x
_atom_site_fract_y
_atom_site_fract_z
La1 La 0.0000 0.0000 0.0000
Al1 Al 0.5000 0.5000 0.5000
N1 N 0.0000 0.0000 0.5000
```

Its raw total energy is -26.26 eV/cell. For the total magnetic moment, the calculation gives 0.0 μB/f.u. Its energy relative to the elements, uncorrected is 7.386 eV/f.u.

5.
## Ce4ZrO10 (PBE-GGA)

Data for a relaxed Ce4ZrO10 crystal.

Geometry as CIF:
```
data_Ce4ZrO10
_space_group_name_H-M_alt 'R -3 m'
_space_group_IT_number 166
_space_group_name_Hall '-R 3 2"'
_cell_length_a 3.8280
_cell_length_b 3.8280
_cell_length_c 46.5772
_cell_angle_alpha 90.00
_cell_angle_beta 90.00
_cell_angle_gamma 120.00
loop_
_atom_site_label
_atom_site_type_symbol
_atom_site_fract_x
_atom_site_fract_y
_atom_site_fract_z
Ce1 Ce 0.0000 0.0000 0.1026
Ce2 Ce 0.0000 0.0000 0.2991
Zr1 Zr 0.0000 0.0000 0.5000
O1 O 0.0000 0.0000 0.0514
O2 O 0.0000 0.0000 0.1530
O3 O 0.0000 0.0000 0.2477
O4 O 0.0000 0.0000 0.3504
O5 O 0.0000 0.0000 0.4535
```

The calculation puts the relative energy among the computed polymorphs at 0 meV/atom. Its raw total energy is -399.14 eV/cell. For the total magnetic moment, the calculation gives 0.0 μB/f.u. Its energy relative to the elements, uncorrected is -51.181 eV/f.u.

6.
## SrAcSe2 (PBE-GGA)

Data for a relaxed SrAcSe2 crystal.

Geometry as CIF:
```
data_SrAcSe2
_space_group_name_H-M_alt 'F m -3 m'
_space_group_IT_number 225
_space_group_name_Hall '-F 4 2 3'
_cell_length_a 7.6463
_cell_length_b 7.6463
_cell_length_c 7.6463
_cell_angle_alpha 90.00
_cell_angle_beta 90.00
_cell_angle_gamma 90.00
loop_
_atom_site_label
_atom_site_type_symbol
_atom_site_fract_x
_atom_site_fract_y
_atom_site_fract_z
Sr1 Sr 0.0000 0.0000 0.0000
Ac1 Ac 0.0000 0.0000 0.5000
Se1 Se 0.2500 0.2500 0.2500
```

The calculation puts the relative energy among the computed polymorphs at 277 meV/atom. Its raw total energy is -77.69 eV/cell. For the total magnetic moment, the calculation gives 0.0 μB/f.u. Its energy relative to the elements, uncorrected is -6.663 eV/f.u.